(1)
Here is a relaxed Sr2LiPb crystal from the Alexandria database. Energies are from PBE-GGA.

Values from the calculation:
M_tot in μB/atom: 0.000
SG: P4mm (99)
N(E_F) in states/eV per atom: 0.4358

Lattice parameters (Å, degrees): 4.003 4.003 9.131 90.00 90.00 90.00
Fractional positions:
1 Sr 0.500 0.500 0.304
2 Sr 0.000 0.000 0.942
3 Pb 0.500 0.500 0.692
4 Li 0.000 0.000 0.562

(2)
Here is a relaxed Sr2LiPb crystal from the Alexandria database. Energies are from PBE-GGA.

Values from the calculation:
M_tot in μB/atom: 0.000
SG: Cm (8)
N(E_F) in states/eV per atom: 0.6960

Lattice parameters (Å, degrees): 6.868 6.868 5.850 71.71 71.71 32.61
Fractional positions:
1 Li 0.544 0.544 0.491
2 Sr 0.971 0.971 0.055
3 Sr 0.767 0.767 0.711
4 Pb 0.218 0.218 0.243

(3)
Here is a relaxed Sr4LiPb2 crystal from the Alexandria database. Energies are from PBE-GGA.

Values from the calculation:
M_tot in μB/atom: 0.000
SG: R-3m (166)
N(E_F) in states/eV per atom: 0.5249

Lattice parameters (Å, degrees): 5.748 5.748 9.918 73.16 73.16 60.00
Fractional positions:
1 Sr 0.622 0.622 0.135
2 Sr 0.127 0.127 0.618
3 Sr 0.873 0.873 0.382
4 Sr 0.378 0.378 0.865
5 Pb 0.747 0.747 0.759
6 Pb 0.253 0.253 0.241
7 Li 0.000 0.000 0.000

(4)
Here is a relaxed Sr2LiPb crystal from the Alexandria database. Energies are from PBE-GGA.

Values from the calculation:
M_tot in μB/atom: 0.001
SG: C2/m (12)
N(E_F) in states/eV per atom: 0.8844

Lattice parameters (Å, degrees): 5.598 5.598 7.549 81.44 81.44 41.59
Fractional positions:
1 Pb 0.250 0.250 0.250
2 Sr 0.991 0.991 0.016
3 Sr 0.509 0.509 0.484
4 Li 0.750 0.750 0.750

(5)
Here is a relaxed SrLi6Pb6 crystal from the Alexandria database. Energies are from PBE-GGA.

Values from the calculation:
M_tot in μB/atom: 0.000
SG: Immm (71)
N(E_F) in states/eV per atom: 0.3921

Lattice parameters (Å, degrees): 6.056 7.770 7.770 78.77 67.06 67.06
Fractional positions:
1 Li 0.000 0.000 0.500
2 Li 0.500 0.246 0.754
3 Li 0.500 0.754 0.246
4 Li 0.000 0.500 0.000
5 Li 0.500 0.000 0.500
6 Li 0.500 0.500 0.000
7 Pb 0.675 0.825 0.825
8 Pb 0.000 0.653 0.347
9 Pb 0.325 0.175 0.175
10 Pb 0.342 0.658 0.658
11 Pb 0.000 0.347 0.653
12 Pb 0.658 0.342 0.342
13 Sr 0.000 0.000 0.000

(6)
Here is a relaxed Sr5Li2Pb5 crystal from the Alexandria database. Energies are from PBE-GGA.

Values from the calculation:
M_tot in μB/atom: 0.000
SG: C2/m (12)
N(E_F) in states/eV per atom: 0.6626

Lattice parameters (Å, degrees): 5.130 9.279 9.293 71.50 73.98 73.95
Fractional positions:
1 Sr 0.354 0.959 0.333
2 Sr 0.355 0.332 0.958
3 Sr 0.645 0.668 0.042
4 Sr 0.500 0.500 0.500
5 Sr 0.646 0.041 0.667
6 Li 0.842 0.657 0.659
7 Li 0.158 0.343 0.341
8 Pb 0.001 0.301 0.697
9 Pb 0.245 0.755 0.756
10 Pb 0.000 0.000 0.000
11 Pb 0.999 0.699 0.303
12 Pb 0.755 0.245 0.244

Calculated formation energy values (in eV/atom) by entry order: -0.2235 -0.2594 -0.4269 -0.1385 -0.3017 -0.4567.